## MgMo2O4 (PBE with a Hubbard U)

Data for a relaxed MgMo2O4 crystal.

Unit cell a=6.0553 b=6.1226 c=9.5495 alpha=90.00 beta=90.00 gamma=90.00
With the nearest neighbours (Å) after each atom.
Space group Imma (No. 74)
Symmetry-distinct sites (fractional):
Mg: 0.2500 0.2500 0.2500 [4 per cell]  6 O 2.12-2.14
Mo: 0.0000 0.0000 0.0000 [4 per cell]  6 O 2.16-2.18
Mo: 0.0000 0.2500 0.6287 [4 per cell]  4 O 2.09-2.12
O: 0.0000 0.0047 0.2260 [8 per cell]  2 Mo 2.09-2.16, 2 Mg 2.14
O: 0.2478 0.2500 0.4725 [8 per cell]  3 Mo 2.12-2.18, 1 Mg 2.12

Computed properties:
Size of the total moment: 24.00 μB/cell
Polymorph energy (0 for the lowest one): 0.173 eV/atom